A | VASP calculation (GGA-PBE) on a relaxed structure of SrTa2Ru.

Unit cell a=3.8301 b=3.0299 c=8.2363 alpha=71.36 beta=90.00 gamma=90.00
With the nearest neighbours (Å) after each atom.
Sites, in units of the cell vectors:
Ru 0.5000 0.2500 0.2500  8 Ta 2.62-2.90
Sr 0.5000 0.7500 0.7500  2 Sr 3.03
Ta 0.0000 0.9751 0.0865  1 Ta 2.60, 4 Ru 2.62-2.90
Ta 0.0000 0.5249 0.4135  1 Ta 2.60, 4 Ru 2.62-2.90

The value obtained for the magnetic moment is 0.000 μB per formula unit. As for the density of states at the Fermi level: 1.04 states/eV per atom. The value obtained for the calculated density is 10.10 Mg/m³.

---

B | VASP calculation (GGA-PBE) on a relaxed structure of SrTa2Ru.

Unit cell a=5.8585 b=5.8585 c=5.8585 alpha=148.63 beta=127.85 gamma=62.13
With the nearest neighbours (Å) after each atom.
Sites, in units of the cell vectors:
Ru 0.5250 0.5250 0.0000  2 Ta 2.50
Sr 0.2726 0.7726 0.5000  2 Ru 2.99, 8 Ta 3.07-3.34, 2 Sr 3.17
Ta 0.9842 0.9842 0.0000  4 Ru 3.05, 4 Ta 3.10-3.17, 4 Sr 3.30-3.34
Ta 0.7182 0.2182 0.5000  2 Ru 2.50

The value obtained for the magnetic moment is 0.000 μB per formula unit. As for the density of states at the Fermi level: 1.01 states/eV per atom. The value obtained for the calculated density is 11.17 Mg/m³.

---

Verdict on stability: A comes out on top.

---

A | VASP calculation (GGA-PBE) on a relaxed structure of SrTaRu.

Unit cell a=4.1768 b=4.1768 c=5.4506 alpha=90.00 beta=90.00 gamma=120.00
With the nearest neighbours (Å) after each atom.
Sites, in units of the cell vectors:
Ru 0.0000 0.0000 0.8224  3 Ta 2.41
Sr 0.3333 0.6667 0.3375  6 Ru 3.58-3.70, 6 Ta 3.63-3.65
Ta 0.6667 0.3333 0.8401  3 Ru 2.41

The value obtained for the magnetic moment is 0.000 μB per formula unit. As for the density of states at the Fermi level: 0.81 states/eV per atom. The value obtained for the calculated density is 7.45 Mg/m³.

---

B | VASP calculation (GGA-PBE) on a relaxed structure of SrTaRu.

Unit cell a=4.6456 b=4.6456 c=4.6456 alpha=60.00 beta=60.00 gamma=60.00
With the nearest neighbours (Å) after each atom.
Sites, in units of the cell vectors:
Ru 0.7500 0.7500 0.7500  4 Ta 2.84, 4 Sr 2.84
Sr 0.0000 0.0000 0.0000  4 Ru 2.84
Ta 0.5000 0.5000 0.5000  4 Ru 2.84

The value obtained for the magnetic moment is 0.002 μB per formula unit. As for the density of states at the Fermi level: 1.25 states/eV per atom. The value obtained for the calculated density is 8.66 Mg/m³.

---

Verdict on stability: A comes out on top.